Material: AcPr2Ge2Pd2
Method: DFT, PBE
State: relaxed Values from VASP.

Output
The calculation puts the energy of formation at -792.7 meV/atom.

Cell and atoms, written as Quantum ESPRESSO input:
```
&SYSTEM
  ibrav = 0, nat = 7, ntyp = 4
/
ATOMIC_SPECIES
Ge 72.64 Ge.upf
Pd 106.42 Pd.upf
Pr 140.91 Pr.upf
Ac 227.00 Ac.upf
ATOMIC_POSITIONS crystal
Ge 0.744 0.744 0.767
Ge 0.256 0.256 0.233
Pd 0.598 0.598 0.207
Pd 0.402 0.402 0.793
Pr 0.126 0.126 0.622
Pr 0.874 0.874 0.378
Ac 0.000 0.000 0.000
CELL_PARAMETERS angstrom
4.572 0.000 0.000
2.286 3.960 0.000
2.286 1.320 9.804
```